Entry 1:
Material: KLa2NiP
Method: DFT, PBE-GGA
State: relaxed

Computed properties:
Energy relative to the elements = 0.63 eV per formula unit
DOS at the Fermi energy = 0.88 states/eV/atom
Space-group type = No. 123
E_tot = -0.158 hartree per atom

a b c (Å): 5.5974 5.7733 5.5974
angles (deg): 90.00 90.00 90.00
Element x y z (fractional)
Ni (0.5000, 0.5000, 0.5000)
K (0.0000, 0.5000, 0.0000)
P (0.0000, 0.0000, 0.0000)
La (0.0000, 0.0000, 0.5000)
La (0.5000, 0.0000, 0.0000)

Entry 2:
Material: POsRuN
Method: DFT, PBE-GGA
State: relaxed

Computed properties:
E_form (uncorrected) = 0.10 eV/atom
DOS at the Fermi energy = 0.61 states/eV/atom
Space-group type = No. 156
E_tot = -0.311 hartree per atom

a b c (Å): 2.8557 2.8557 6.9797
angles (deg): 90.00 90.00 120.00
Element x y z (fractional)
P (0.6667, 0.3333, 0.3200)
Os (0.0000, 0.0000, 0.0765)
Ru (0.3333, 0.6667, 0.6175)
N (0.0000, 0.0000, 0.7835)

Entry 3:
Material: GeSe3I
Method: DFT, PBE-GGA
State: relaxed

Computed properties:
E_form (uncorrected) = 0.03 eV/atom
DOS at the Fermi energy = 0.41 states/eV/atom
Space-group type = No. 12
E_tot = -0.121 hartree per atom

a b c (Å): 5.6269 11.0062 7.9569
angles (deg): 130.09 110.71 90.00
Element x y z (fractional)
Ge (0.8512, 0.0959, 0.7024)
Ge (0.1488, 0.9041, 0.2976)
Se (0.0047, 0.8378, 0.5073)
Se (0.0723, 0.3007, 0.1445)
Se (0.5027, 0.8378, 0.5073)
Se (0.4973, 0.1622, 0.4927)
Se (0.9953, 0.1622, 0.4927)
Se (0.9277, 0.6993, 0.8555)
I (0.4183, 0.6490, 0.8367)
I (0.5817, 0.3510, 0.1633)

Entry 4:
Material: Ba2ScGaS5
Method: DFT, PBE-GGA
State: relaxed

Computed properties:
E_form (uncorrected) = -1.70 eV/atom
DOS at the Fermi energy = 0.00 states/eV/atom
Space-group type = No. 36
E_tot = -0.201 hartree per atom

a b c (Å): 3.9805 9.3258 12.8215
angles (deg): 90.00 90.00 102.32
Element x y z (fractional)
Ba (0.8694, 0.7388, 0.8174)
Ba (0.1213, 0.2427, 0.6857)
Ba (0.1306, 0.2612, 0.3174)
Ba (0.8787, 0.7573, 0.1857)
Sc (0.7908, 0.5817, 0.5243)
Sc (0.2092, 0.4183, 0.0243)
Ga (0.5636, 0.1272, 0.9352)
Ga (0.4364, 0.8728, 0.4352)
S (0.3438, 0.6877, 0.0046)
S (0.6871, 0.3741, 0.8826)
S (0.5018, 0.0036, 0.7839)
S (0.2942, 0.5884, 0.6537)
S (0.9451, 0.8901, 0.5365)
S (0.6562, 0.3123, 0.5046)
S (0.3129, 0.6259, 0.3826)
S (0.4982, 0.9964, 0.2839)
S (0.7058, 0.4116, 0.1537)
S (0.0549, 0.1099, 0.0365)

Entry 5:
Material: NpTiAs2
Method: DFT, PBE-GGA
State: relaxed

Computed properties:
Energy relative to the elements = -2.88 eV per formula unit
DOS at the Fermi energy = 1.60 states/eV/atom
Space-group type = No. 160
E_tot = -0.303 hartree per atom

a b c (Å): 3.7183 3.7183 7.2165
angles (deg): 75.07 75.07 60.00
Element x y z (fractional)
Np (0.4974, 0.4974, 0.5079)
Ti (0.6693, 0.6693, 0.9922)
As (0.0721, 0.0721, 0.7836)
As (0.2613, 0.2613, 0.2162)

Entry 6:
Material: TbBiPd2
Method: DFT, PBE-GGA
State: relaxed

Computed properties:
Energy relative to the elements = -2.96 eV per formula unit
DOS at the Fermi energy = 0.24 states/eV/atom
Space-group type = No. 225
E_tot = -0.201 hartree per atom

a b c (Å): 4.9156 4.9156 4.9156
angles (deg): 60.00 60.00 60.00
Element x y z (fractional)
Tb (0.5000, 0.5000, 0.5000)
Bi (0.0000, 0.0000, 0.0000)
Pd (0.7500, 0.7500, 0.7500)
Pd (0.2500, 0.2500, 0.2500)

Entry 7:
Material: YNi4Ir
Method: DFT, PBE-GGA
State: relaxed

Computed properties:
Energy relative to the elements = -1.34 eV per formula unit
DOS at the Fermi energy = 1.72 states/eV/atom
Space-group type = No. 216
E_tot = -0.244 hartree per atom

a b c (Å): 4.8820 4.8820 4.8820
angles (deg): 60.00 60.00 60.00
Element x y z (fractional)
Y (0.7500, 0.7500, 0.7500)
Ni (0.8792, 0.3736, 0.3736)
Ni (0.3736, 0.3736, 0.8792)
Ni (0.3736, 0.8792, 0.3736)
Ni (0.3736, 0.3736, 0.3736)
Ir (0.0000, 0.0000, 0.0000)

Entry 8:
Material: CuC
Method: DFT, PBE-GGA
State: relaxed

Computed properties:
Energy relative to the elements = 1.61 eV per formula unit
DOS at the Fermi energy = 0.12 states/eV/atom
Space-group type = No. 67
E_tot = -0.215 hartree per atom

a b c (Å): 3.0235 3.0235 6.2452
angles (deg): 90.00 90.00 131.31
Element x y z (fractional)
C (0.0000, 0.0000, 0.9213)
C (0.5000, 0.5000, 0.8287)
Cu (0.0000, 0.0000, 0.5431)
Cu (0.5000, 0.5000, 0.2069)